Below is FeBO2F after structural relaxation, with properties calculated at the PBEsol level.

Results
Magnetic moment = 3.61 μB/cell
DFT total energy = -5.811 eV/atom
E_form (uncorrected) = -63 kJ/mol of formula units
DOS(E_F) = 0.387 states/eV per atom
V = 10.32 A^3/atom

```
FeBO2F
1.0
-3.074 1.237 -1.530
-1.859 -0.896 3.010
0.684 3.518 1.470
Fe F O B
1 1 2 1
Direct
0.000 0.000 0.000
0.000 0.000 0.500
0.500 0.000 0.000
0.000 0.500 0.000
0.500 0.500 0.500
```